# ScTcGe

ScTcGe after structural relaxation (GGA-PBE, the Alexandria database).

Cell lengths 5.5118, 4.2820, 9.0237 Å; angles 90.00, 104.79, 90.00 degrees
Fractional coordinates of all 12 atoms:
Ge1 0.7147 0.5000 0.1644
Ge2 0.2481 0.5000 0.4013
Ge3 0.2481 0.0000 0.9013
Ge4 0.7147 0.0000 0.6644
Sc1 0.5295 0.0000 0.3205
Sc2 0.1664 0.0000 0.5843
Sc3 0.5295 0.5000 0.8205
Sc4 0.1664 0.5000 0.0843
Tc1 0.0010 0.5000 0.7733
Tc2 0.0010 0.0000 0.2733
Tc3 0.8229 0.5000 0.4827
Tc4 0.8229 0.0000 0.9827

DOS at the Fermi energy = 6.767 states/eV per cell
size of the total moment = 0.00 Bohr magnetons per cell
excess energy over the best structure of this formula in the dataset = 162 meV per atom


# ScTcGe3

ScTcGe3 after structural relaxation (GGA-PBE, the Alexandria database).

Cell lengths 5.0218, 5.0218, 5.0218 Å; angles 90.00, 90.00, 90.00 degrees
Fractional coordinates of all 5 atoms:
Ge1 0.0000 0.5000 0.0000
Ge2 0.0000 0.0000 0.5000
Ge3 0.5000 0.0000 0.0000
Tc1 0.5000 0.5000 0.5000
Sc1 0.0000 0.0000 0.0000

DOS at the Fermi energy = 2.919 states/eV per cell
size of the total moment = 4.05 Bohr magnetons per cell
excess energy over the best structure of this formula in the dataset = 1456 meV per atom


# ScTcGe3

ScTcGe3 after structural relaxation (GGA-PBE, the Alexandria database).

Cell lengths 4.7952, 4.7952, 4.7952 Å; angles 90.00, 90.00, 90.00 degrees
Fractional coordinates of all 5 atoms:
Tc1 0.0000 0.0000 0.0000
Sc1 0.5000 0.5000 0.5000
Ge1 0.0000 0.0000 0.5000
Ge2 0.5000 0.0000 0.0000
Ge3 0.0000 0.5000 0.0000

DOS at the Fermi energy = 5.796 states/eV per cell
size of the total moment = 0.00 Bohr magnetons per cell
excess energy over the best structure of this formula in the dataset = 562 meV per atom


# ScTcGe

ScTcGe after structural relaxation (GGA-PBE, the Alexandria database).

Cell lengths 3.5527, 3.5527, 8.9671 Å; angles 101.43, 101.43, 90.00 degrees
Fractional coordinates of all 6 atoms:
Tc1 0.7586 0.2586 0.5172
Tc2 0.5086 0.5086 0.0172
Sc1 0.0811 0.0811 0.1621
Sc2 0.3311 0.8311 0.6621
Ge1 0.6604 0.6604 0.3207
Ge2 0.9104 0.4104 0.8207

DOS at the Fermi energy = 2.877 states/eV per cell
size of the total moment = 0.00 Bohr magnetons per cell
excess energy over the best structure of this formula in the dataset = 319 meV per atom


# Sc2TcGe

Sc2TcGe after structural relaxation (GGA-PBE, the Alexandria database).

Cell lengths 3.5267, 4.4647, 4.4647 Å; angles 90.00, 90.00, 90.00 degrees
Fractional coordinates of all 4 atoms:
Tc1 0.5000 0.5000 0.5000
Sc1 0.0000 0.0000 0.5000
Sc2 0.0000 0.5000 0.0000
Ge1 0.5000 0.0000 0.0000

DOS at the Fermi energy = 1.910 states/eV per cell
size of the total moment = 0.00 Bohr magnetons per cell
uncorrected energy = -7.42 eV/atom


# Sc2TcGe

Sc2TcGe after structural relaxation (GGA-PBE, the Alexandria database).

Cell lengths 7.4881, 7.4881, 5.9638 Å; angles 51.11, 51.11, 90.00 degrees
Fractional coordinates of all 8 atoms:
Tc1 0.0000 0.0000 0.0000
Tc2 0.7500 0.2500 0.5000
Ge1 0.2500 0.7500 0.5000
Ge2 0.5000 0.5000 0.0000
Sc1 0.3750 0.3348 0.7500
Sc2 0.8750 0.9152 0.7500
Sc3 0.6652 0.1250 0.2500
Sc4 0.0848 0.6250 0.2500

DOS at the Fermi energy = 10.212 states/eV per cell
size of the total moment = 0.00 Bohr magnetons per cell
uncorrected energy = -6.82 eV/atom


# ScTcGe

ScTcGe after structural relaxation (GGA-PBE, the Alexandria database).

Cell lengths 3.3806, 11.1872, 6.4466 Å; angles 90.00, 121.07, 90.00 degrees
Fractional coordinates of all 12 atoms:
Sc1 0.0000 0.3129 0.0000
Sc2 0.0000 0.6871 0.0000
Sc3 0.0000 0.8129 0.5000
Sc4 0.0000 0.1871 0.5000
Ge1 0.5000 0.3813 0.5000
Ge2 0.5000 0.1187 0.0000
Ge3 0.5000 0.8813 0.0000
Ge4 0.5000 0.6187 0.5000
Tc1 0.2726 0.5000 0.7759
Tc2 0.2726 0.0000 0.2759
Tc3 0.7274 0.0000 0.7241
Tc4 0.7274 0.5000 0.2241

DOS at the Fermi energy = 7.722 states/eV per cell
size of the total moment = 0.00 Bohr magnetons per cell
excess energy over the best structure of this formula in the dataset = 137 meV per atom


# ScTcGe2

ScTcGe2 after structural relaxation (GGA-PBE, the Alexandria database).

Cell lengths 3.1593, 3.1593, 6.6727 Å; angles 90.00, 90.00, 90.00 degrees
Fractional coordinates of all 4 atoms:
Sc1 0.5000 0.5000 0.5000
Ge1 0.0000 0.0000 0.2117
Ge2 0.0000 0.0000 0.7883
Tc1 0.5000 0.5000 0.0000

DOS at the Fermi energy = 2.752 states/eV per cell
size of the total moment = 0.58 Bohr magnetons per cell
excess energy over the best structure of this formula in the dataset = 222 meV per atom